1.
Compound: ZnTcAg
Source: Alexandria
Functional: PBE
Structure: optimized geometry

Geometry as POSCAR:
```
ZnTcAg
1.0
2.771 0.000 0.000
-1.385 2.400 0.000
0.000 0.000 6.946
Zn Tc Ag
1 1 1
direct
0.000 0.000 0.000 Zn
0.333 0.667 0.684 Tc
0.667 0.333 0.334 Ag
```

- E above lowest polymorph: 0.000 eV per atom
- M_tot: 0.00 μB per atom
- Formation enthalpy at 0 K: 0.23 eV per atom
- DOS(E_F): 0.7953 states/eV/atom


2.
Compound: SrB3Cl
Source: Alexandria
Functional: PBE
Structure: optimized geometry

Geometry as POSCAR:
```
SrB3Cl
1.0
5.600 0.000 0.000
0.000 5.600 0.000
0.000 0.000 5.600
Sr B Cl
1 3 1
direct
0.000 0.000 0.000 Sr
0.000 0.000 0.500 B
0.000 0.500 0.000 B
0.500 0.000 0.000 B
0.500 0.500 0.500 Cl
```

- E above lowest polymorph: 0.772 eV per atom
- M_tot: 0.73 μB per atom
- Raw formation energy: 2.67 eV/atom
- DOS(E_F): 0.8178 states/eV/atom


3.
Compound: ScAlSnF2
Source: Alexandria
Functional: PBE
Structure: optimized geometry

Geometry as POSCAR:
```
ScAlSnF2
1.0
3.887 0.000 0.000
0.000 3.887 0.000
0.000 0.000 7.143
Sc Al Sn F
1 1 1 2
direct
0.000 0.000 0.000 Sc
0.000 0.000 0.500 Al
0.500 0.500 0.000 Sn
0.000 0.500 0.500 F
0.500 0.000 0.500 F
```

- E above lowest polymorph: 0.000 eV per atom
- M_tot: 0.00 μB per atom
- Raw formation energy: -1.31 eV/atom
- DOS(E_F): 0.8532 states/eV/atom


4.
Compound: Ti3MoI
Source: Alexandria
Functional: PBE
Structure: optimized geometry

Geometry as POSCAR:
```
Ti3MoI
1.0
4.842 0.000 0.000
0.000 4.842 0.000
0.000 0.000 4.842
Ti Mo I
3 1 1
direct
0.000 0.000 0.500 Ti
0.000 0.500 0.000 Ti
0.500 0.000 0.000 Ti
0.000 0.000 0.000 Mo
0.500 0.500 0.500 I
```

- E above lowest polymorph: 0.000 eV per atom
- M_tot: 0.24 μB per atom
- Raw formation energy: 0.79 eV/atom
- DOS(E_F): 1.3317 states/eV/atom